Entry 1:
Here is crystalline Ge2PN at its relaxed geometry from the Alexandria database. Energies are from PBE-GGA.

E_tot, eV per atom: -5.345
Polymorph energy (0 for the lowest one), meV/atom: 0

```
Ge2PN
1.0
5.638 0.000 0.000
0.000 5.638 0.000
2.819 2.819 4.153
P Ge N
2 4 2
Direct
0.000 0.000 0.000
0.750 0.250 0.500
0.573 0.125 0.250
0.177 0.625 0.250
0.375 0.427 0.750
0.875 0.823 0.750
0.500 0.500 0.000
0.250 0.750 0.500
```

Entry 2:
Here is crystalline Ge2PN at its relaxed geometry from the Alexandria database. Energies are from PBE-GGA.

E_tot, eV per atom: -5.300
Polymorph energy (0 for the lowest one), meV/atom: 45

```
Ge2PN
1.0
-1.641 -1.365 3.297
-1.987 -3.387 -0.053
3.859 -4.577 2.364
P Ge N
1 2 1
Direct
0.500 0.500 0.500
0.096 0.096 0.711
0.904 0.904 0.289
0.000 0.000 0.000
```

Entry 3:
Here is crystalline Ge2PN at its relaxed geometry from the Alexandria database. Energies are from PBE-GGA.

E_tot, eV per atom: -4.677
Polymorph energy (0 for the lowest one), meV/atom: 668

```
Ge2PN
1.0
-2.752 3.208 0.867
0.108 3.625 -2.337
-3.206 0.893 -2.746
P Ge N
1 2 1
Direct
0.500 0.500 0.500
0.250 0.250 0.250
0.750 0.750 0.750
0.000 0.000 0.000
```

Among the records above, which one has the highest E_tot? number 3